Record 1
Computed, not measured: TaIn3Se after structural relaxation at the PBE level of DFT.

The structure belongs to space group Pm-3m (No. 221); the cell edges are 5.487, 5.487 and 5.487 Å and the angles 90.00°, 90.00° and 90.00°. The inequivalent atoms are Ta at (0.000, 0.000, 0.000), In at (0.000, 0.000, 0.500) and Se at (0.500, 0.500, 0.500).

Its calculated total energy is -3.87 eV/atom. The value obtained for the mass density is 6074 kg/m³. The calculation puts the total magnetization at 2.60 μB/f.u. The excess energy over the best structure of this formula in the dataset is 0 meV per atom. The calculation puts the uncorrected formation energy at 843 meV/atom.


Record 2
Computed, not measured: TaIn2Se after structural relaxation at the PBE level of DFT.

The structure belongs to space group Cm (No. 8); the cell edges are 11.202, 3.201 and 5.246 Å and the angles 90.00°, 106.46° and 90.00°. The inequivalent atoms are Ta at (0.000, 0.000, 0.000), In at (0.039, 0.500, 0.498), In at (0.244, 0.500, 0.133) and Se at (0.336, 0.000, 0.720).

Its calculated total energy is -5.24 eV/atom. The value obtained for the mass density is 9012 kg/m³. The calculation puts the total magnetization at 0.00 μB/f.u. The calculation puts the uncorrected formation energy at -33 meV/atom.


Record 3
Computed, not measured: TaInSe2 after structural relaxation at the PBE level of DFT.

The structure belongs to space group P2_1/c (No. 14); the cell edges are 9.030, 3.341 and 14.409 Å and the angles 90.00°, 110.25° and 90.00°. The inequivalent atoms are Ta at (0.145, 0.007, 0.233), In at (0.111, 0.015, 0.427), Se at (0.248, 0.504, 0.127) and Se at (0.335, 0.511, 0.353).

Its calculated total energy is -5.70 eV/atom. The value obtained for the mass density is 7388 kg/m³. The calculation puts the total magnetization at 0.00 μB/f.u. The calculation puts the uncorrected formation energy at -310 meV/atom.


Record 4
Computed, not measured: Ta2InSe6 after structural relaxation at the PBE level of DFT.

The structure belongs to space group P-3m1 (No. 164); the cell edges are 11.3234, 11.3234 and 6.3399 Å and the angles 90.00°, 90.00° and 120.00°. The inequivalent atoms are Ta at (0.0000, 0.3471, 0.0000), In at (0.0000, 0.0000, 0.0000), In at (0.3333, 0.6667, 0.4608), Se at (0.0928, 0.5464, 0.7438), Se at (0.1226, 0.2453, 0.7719) and Se at (0.2097, 0.4194, 0.2448).

Its calculated total energy is -5.86 eV/atom. The value obtained for the mass density is 6726 kg/m³. The calculation puts the total magnetization at 0.00 μB/f.u. The calculation puts the uncorrected formation energy at -602 meV/atom.


Among the records above, which one has the highest calculated total energy? TaIn3Se


Copy entry 3 word for word.
Computed, not measured: TaInSe2 after structural relaxation at the PBE level of DFT.

The structure belongs to space group P2_1/c (No. 14); the cell edges are 9.030, 3.341 and 14.409 Å and the angles 90.00°, 110.25° and 90.00°. The inequivalent atoms are Ta at (0.145, 0.007, 0.233), In at (0.111, 0.015, 0.427), Se at (0.248, 0.504, 0.127) and Se at (0.335, 0.511, 0.353).

Its calculated total energy is -5.70 eV/atom. The value obtained for the mass density is 7388 kg/m³. The calculation puts the total magnetization at 0.00 μB/f.u. The calculation puts the uncorrected formation energy at -310 meV/atom.


Which of these has the lowest mass density? TaIn3Se


What did the second record say?
Computed, not measured: TaIn2Se after structural relaxation at the PBE level of DFT.

The structure belongs to space group Cm (No. 8); the cell edges are 11.202, 3.201 and 5.246 Å and the angles 90.00°, 106.46° and 90.00°. The inequivalent atoms are Ta at (0.000, 0.000, 0.000), In at (0.039, 0.500, 0.498), In at (0.244, 0.500, 0.133) and Se at (0.336, 0.000, 0.720).

Its calculated total energy is -5.24 eV/atom. The value obtained for the mass density is 9012 kg/m³. The calculation puts the total magnetization at 0.00 μB/f.u. The calculation puts the uncorrected formation energy at -33 meV/atom.